KTlBr PBE optimized geometry; E = -2.34 eV per atom
1.0
-4.902 0.901 -2.583
-4.810 -0.500 2.852
-3.022 4.568 1.229
Tl Br K
1 1 1
Direct
0.500 0.500 0.500
0.750 0.750 0.750
0.000 0.000 0.000

KTlBr3 PBE optimized geometry; E = -2.77 eV per atom
1.0
8.194 0.000 0.000
-4.097 7.022 -2.062
0.000 -1.046 13.454
Tl Br K
4 12 4
Direct
0.000 0.500 0.500
0.275 0.000 0.250
0.725 0.000 0.750
0.500 0.500 0.000
0.272 0.693 0.684
0.768 0.625 0.613
0.232 0.375 0.387
0.317 0.158 0.053
0.858 0.625 0.113
0.683 0.842 0.947
0.840 0.158 0.553
0.728 0.307 0.316
0.421 0.693 0.184
0.142 0.375 0.887
0.579 0.307 0.816
0.160 0.842 0.447
0.694 0.707 0.374
0.306 0.293 0.626
0.014 0.707 0.874
0.986 0.293 0.126

K2TlBr PBE optimized geometry; E = -2.21 eV per atom
1.0
-3.431 -5.049 -0.893
3.222 -2.260 0.400
-1.021 -0.381 6.075
K Br Tl
2 1 1
Direct
0.000 0.126 0.875
0.500 0.124 0.377
0.500 0.626 0.874
0.000 0.624 0.375

K3Tl4Br8 PBE optimized geometry; E = -2.89 eV per atom
1.0
-3.015 -7.139 5.455
0.962 -1.245 -9.335
8.991 2.911 0.542
Br Tl K
8 4 3
Direct
0.000 0.771 0.229
0.457 0.230 0.230
0.543 0.770 0.770
0.000 0.229 0.771
0.500 0.252 0.748
0.997 0.769 0.769
0.500 0.748 0.252
0.003 0.231 0.231
0.000 0.500 0.000
0.000 0.000 0.500
0.500 0.000 0.000
0.000 0.000 0.000
0.500 0.500 0.500
0.500 0.000 0.500
0.500 0.500 0.000